(1)
Here is an optimized crystal structure of Cd2InSb from Alexandria. Energies are from PBE-GGA.

Properties
- Formation energy without anion corrections: 0.083 eV per atom
- Space-group type: C2/m (12)

a b c (Å): 5.6192 6.4498 3.3332
angles (deg): 74.87 90.35 115.93
Element x y z (fractional)
Sb (0.5000, 0.5000, 0.0000)
Cd (0.0000, 0.0000, 0.0000)
Cd (0.5000, 0.0000, 0.5000)
In (0.0000, 0.5000, 0.5000)


(2)
Here is an optimized crystal structure of Zr2TiMn from Alexandria. Energies are from PBE-GGA.

Properties
- Space-group type: P4/mmm (123)
- Calculated formation energy: 0.034 eV/atom

a b c (Å): 3.2056 3.2056 7.0924
angles (deg): 90.00 90.00 90.00
Element x y z (fractional)
Mn (0.5000, 0.5000, 0.0000)
Zr (0.0000, 0.0000, 0.7798)
Zr (0.0000, 0.0000, 0.2202)
Ti (0.5000, 0.5000, 0.5000)


(3)
Here is an optimized crystal structure of NaCdIn2As from Alexandria. Energies are from PBE-GGA.

Properties
- Space-group type: P4/mmm (123)
- Calculated formation energy: 0.241 eV/atom

a b c (Å): 5.4982 5.4942 5.4982
angles (deg): 90.00 90.00 90.00
Element x y z (fractional)
Na (0.5000, 0.5000, 0.5000)
As (0.0000, 0.0000, 0.0000)
Cd (0.0000, 0.5000, 0.0000)
In (0.0000, 0.0000, 0.5000)
In (0.5000, 0.0000, 0.0000)


(4)
Here is an optimized crystal structure of La8Te4P3Au from Alexandria. Energies are from PBE-GGA.

Properties
- Formation energy without anion corrections: -1.518 eV per atom
- Space-group type: R-3m (166)

a b c (Å): 8.8203 8.9669 8.8203
angles (deg): 119.46 120.00 90.00
Element x y z (fractional)
La (0.2462, 0.7240, 0.9778)
La (0.2461, 0.7239, 0.4923)
La (0.2616, 0.2849, 0.5232)
La (0.7316, 0.7240, 0.9778)
La (0.2684, 0.2760, 0.0222)
La (0.7384, 0.7151, 0.4768)
La (0.7539, 0.2761, 0.5077)
La (0.7538, 0.2760, 0.0222)
Te (0.5000, 0.0000, 0.0000)
Te (0.5000, 0.0000, 0.5000)
Te (0.0000, 0.0000, 0.0000)
Te (0.0000, 0.0000, 0.5000)
P (0.5000, 0.5000, 0.0000)
P (0.5000, 0.5000, 0.5000)
P (0.0000, 0.5000, 0.5000)
Au (0.0000, 0.5000, 0.0000)


(5)
Here is an optimized crystal structure of Ca3SbP from Alexandria. Energies are from PBE-GGA.

Properties
- Formation energy without anion corrections: -1.036 eV per atom
- Space-group type: P2_1/m (11)

a b c (Å): 8.5594 4.9332 7.1684
angles (deg): 90.02 89.88 90.02
Element x y z (fractional)
P (0.8360, 0.0767, 0.5752)
P (0.6881, 0.5763, 0.0454)
Ca (0.8294, 0.0764, 0.1592)
Ca (0.3630, 0.5763, 0.1340)
Ca (0.6947, 0.5765, 0.4615)
Ca (0.1611, 0.0761, 0.4866)
Ca (0.5386, 0.0765, 0.7996)
Ca (0.9855, 0.5760, 0.8210)
Sb (0.3536, 0.5763, 0.5928)
Sb (0.1706, 0.0762, 0.0279)


(6)
Here is an optimized crystal structure of Tb3Mg9Pd2 from Alexandria. Energies are from PBE-GGA.

Properties
- Space-group type: Immm (71)
- Calculated formation energy: -0.237 eV/atom

a b c (Å): 4.9260 8.4998 8.4998
angles (deg): 79.00 73.16 73.16
Element x y z (fractional)
Tb (0.0000, 0.0000, 0.0000)
Tb (0.7033, 0.2967, 0.2967)
Tb (0.2967, 0.7033, 0.7033)
Mg (0.0000, 0.5000, 0.5000)
Mg (0.6317, 0.0051, 0.7315)
Mg (0.3683, 0.9949, 0.2685)
Mg (0.6317, 0.7315, 0.0051)
Mg (0.3683, 0.2685, 0.9949)
Mg (0.8683, 0.8529, 0.4104)
Mg (0.1317, 0.1471, 0.5896)
Mg (0.8683, 0.4104, 0.8529)
Mg (0.1317, 0.5896, 0.1471)
Pd (0.5000, 0.3492, 0.6508)
Pd (0.5000, 0.6508, 0.3492)


(7)
Here is an optimized crystal structure of Ca5PrTl6 from Alexandria. Energies are from PBE-GGA.

Properties
- Space-group type: Cmmm (65)
- Calculated formation energy: -0.438 eV/atom

a b c (Å): 5.4872 7.8292 8.6983
angles (deg): 90.00 71.61 90.00
Element x y z (fractional)
Pr (0.0000, 0.0000, 0.0000)
Ca (0.6669, 0.5000, 0.6663)
Ca (0.3308, 0.0000, 0.3383)
Ca (0.0000, 0.5000, 0.0000)
Ca (0.6692, 0.0000, 0.6617)
Ca (0.3331, 0.5000, 0.3337)
Tl (0.8334, 0.7450, 0.3331)
Tl (0.8334, 0.2550, 0.3331)
Tl (0.5000, 0.2548, 0.0000)
Tl (0.5000, 0.7452, 0.0000)
Tl (0.1666, 0.7450, 0.6669)
Tl (0.1666, 0.2550, 0.6669)


(8)
Here is an optimized crystal structure of CeMnGe from Alexandria. Energies are from PBE-GGA.

Properties
- Space-group type: P-62m (189)
- Calculated formation energy: -0.365 eV/atom

a b c (Å): 4.2872 6.9511 6.9511
angles (deg): 120.00 90.00 90.00
Site moments in Bohr magnetons follow the coordinates.
Element x y z (fractional)
Mn (0.0000, 0.0000, 0.7738)  3.01
Mn (0.0000, 0.7738, 0.0000)  3.01
Mn (0.0000, 0.2262, 0.2262)  3.01
Ge (0.0000, 0.6667, 0.3333)  -0.04
Ge (0.0000, 0.3333, 0.6667)  -0.04
Ge (0.5000, 0.0000, 0.0000)  -0.07
Ce (0.5000, 0.0000, 0.4243)  -0.60
Ce (0.5000, 0.5757, 0.5757)  -0.60
Ce (0.5000, 0.4243, 0.0000)  -0.60


(9)
Here is an optimized crystal structure of CrTeHRhAu2 from Alexandria. Energies are from PBE-GGA.

Properties
- DFT total energy: -4.88 eV per atom
- Space-group type: Cm (8)

a b c (Å): 7.9712 3.0262 10.0666
angles (deg): 90.00 125.65 90.00
Site moments in Bohr magnetons follow the coordinates.
Element x y z (fractional)
Cr (0.3971, 0.0000, 0.7931)  3.03
Cr (0.3971, 0.5000, 0.2931)  3.03
Te (0.7815, 0.0000, 0.8780)  -0.05
Te (0.7815, 0.5000, 0.3780)  -0.05
H (0.2544, 0.0000, 0.1620)  -0.02
H (0.2544, 0.5000, 0.6620)  -0.02
Rh (0.6731, 0.0000, 0.5519)  -0.01
Rh (0.6731, 0.5000, 0.0519)  -0.01
Au (0.0528, 0.0000, 0.2466)  0.02
Au (0.0528, 0.5000, 0.7466)  0.02
Au (0.3538, 0.0000, 0.0370)  0.05
Au (0.3538, 0.5000, 0.5370)  0.05


(10)
Here is an optimized crystal structure of La3Dy6Tm2Pu from Alexandria. Energies are from PBE-GGA.

Properties
- Space-group type: C2/m (12)
- Calculated formation energy: 0.049 eV/atom

a b c (Å): 6.1854 6.1854 11.7861
angles (deg): 95.03 95.03 120.03
Site moments in Bohr magnetons follow the coordinates.
Element x y z (fractional)
La (0.1674, 0.8326, 0.5000)  -0.01
La (0.8326, 0.1674, 0.5000)  -0.01
La (0.5000, 0.5000, 0.5000)  -0.01
Dy (0.9196, 0.5903, 0.7584)  0.06
Dy (0.7510, 0.7510, 0.2420)  0.07
Dy (0.0804, 0.4097, 0.2416)  0.06
Dy (0.5903, 0.9196, 0.7584)  0.06
Dy (0.2490, 0.2490, 0.7580)  0.07
Dy (0.4097, 0.0804, 0.2416)  0.06
Tm (0.3334, 0.6666, 0.0000)  0.12
Tm (0.6666, 0.3334, 0.0000)  0.12
Pu (0.0000, 0.0000, 0.0000)  5.59


(11)
Here is an optimized crystal structure of NaCeAg2 from Alexandria. Energies are from PBE-GGA.

Properties
- Space-group type: R-3m (166)
- Calculated formation energy: 0.058 eV/atom

a b c (Å): 3.0781 3.0781 10.8535
angles (deg): 81.85 81.85 60.00
Element x y z (fractional)
Na (0.5000, 0.5000, 0.5000)
Ag (0.7526, 0.7526, 0.7421)
Ag (0.2474, 0.2474, 0.2579)
Ce (0.0000, 0.0000, 0.0000)


(12)
Here is an optimized crystal structure of Bi2O3 from Alexandria. Energies are from PBE-GGA.

Properties
- Formation energy without anion corrections: -1.202 eV per atom
- Space-group type: P-42_1c (114)

a b c (Å): 8.0753 8.0753 5.7058
angles (deg): 90.00 90.00 90.00
Element x y z (fractional)
Bi (0.7649, 0.4664, 0.7465)
Bi (0.2351, 0.5336, 0.7465)
Bi (0.4664, 0.2351, 0.2535)
Bi (0.5336, 0.7649, 0.2535)
Bi (0.9664, 0.2649, 0.2465)
Bi (0.7351, 0.9664, 0.7535)
Bi (0.2649, 0.0336, 0.7535)
Bi (0.0336, 0.7351, 0.2465)
O (0.0000, 0.5000, 0.5720)
O (0.5000, 0.0000, 0.4280)
O (0.5000, 0.0000, 0.9280)
O (0.0000, 0.5000, 0.0720)
O (0.7129, 0.3282, 0.4305)
O (0.2871, 0.6718, 0.4305)
O (0.3282, 0.2871, 0.5695)
O (0.6718, 0.7129, 0.5695)
O (0.1718, 0.7871, 0.9305)
O (0.2129, 0.1718, 0.0695)
O (0.7871, 0.8282, 0.0695)
O (0.8282, 0.2129, 0.9305)